Below is crystalline LaDyHo at its relaxed geometry, with properties calculated at the PBE-GGA level.

Calculated values
- Energy of formation from the pure elements: 70.5 meV/atom

```
data_LaDyHo
_chemical_formula_sum 'La1 Dy1 Ho1'
_cell_length_a 5.7281
_cell_length_b 5.7281
_cell_length_c 3.5160
_cell_angle_alpha 90.00
_cell_angle_beta 90.00
_cell_angle_gamma 120.00
_space_group_name_H-M_alt 'P -6 m 2'
_space_group_IT_number 187
_space_group_name_Hall 'P -6 2'
loop_
_atom_site_label
_atom_site_fract_x
_atom_site_fract_y
_atom_site_fract_z
La1 0.0000 0.0000 0.0000
Dy1 0.6667 0.3333 0.5000
Ho1 0.3333 0.6667 0.5000
```